# 1
# NdEuGeAu (GGA-PBE, relaxed)
# **D(E_F)**: 32.86 states/eV/cell
# **Spin magnetization**: 28.8 Bohr magnetons per cell
# **Calculated total energy**: -103.5 eV/cell
data_NdEuGeAu
_chemical_formula_sum 'Nd4 Eu4 Ge4 Au4'
_space_group_name_H-M_alt 'F -4 3 m'
_space_group_IT_number 216
_space_group_name_Hall 'F -4 2 3'
_cell_length_a 7.448
_cell_length_b 7.448
_cell_length_c 7.448
_cell_angle_alpha 90.00
_cell_angle_beta 90.00
_cell_angle_gamma 90.00
loop_
_atom_site_label
_atom_site_fract_x
_atom_site_fract_y
_atom_site_fract_z
Nd1 0.000 0.000 0.000
Eu1 0.000 0.000 0.500
Ge1 0.250 0.250 0.250
Au1 0.250 0.250 0.750



# 2
# K2YPb (GGA-PBE, relaxed)
# **D(E_F)**: 5.58 states/eV/cell
# **Spin magnetization**: 0.6 Bohr magnetons per cell
# **Calculated total energy**: -24.3 eV/cell
data_K2YPb
_chemical_formula_sum 'K4 Y2 Pb2'
_space_group_name_H-M_alt 'C 1 m 1'
_space_group_IT_number 8
_cell_length_a 10.037
_cell_length_b 3.885
_cell_length_c 9.702
_cell_angle_alpha 90.00
_cell_angle_beta 95.70
_cell_angle_gamma 90.00
loop_
_space_group_symop_operation_xyz
'x,y,z'
'x,-y,z'
'x+1/2,y+1/2,z'
'x+1/2,-y+1/2,z'
loop_
_atom_site_label
_atom_site_fract_x
_atom_site_fract_y
_atom_site_fract_z
K1 0.000 0.000 0.000
K2 0.221 0.000 0.642
Y1 0.264 0.500 0.282
Pb1 0.493 0.000 0.399